Compound: LiMgO3
Source: Alexandria via LeMat-Bulk
Functional: PBE
Structure: relaxed

Lattice parameters (Å, degrees): 3.5599 3.5599 3.5599 90.00 90.00 90.00
Each line ends with the local moment (μB).
Atoms (fractional coordinates):
Mg: 0.5000 0.5000 0.5000  -0.02
O: 0.0000 0.5000 0.0000  0.99
O: 0.0000 0.0000 0.5000  0.76
O: 0.5000 0.0000 0.0000  0.89
Li: 0.0000 0.0000 0.0000  0.03

Compound: LiMgOs2O
Source: Alexandria via LeMat-Bulk
Functional: PBE
Structure: relaxed

Lattice parameters (Å, degrees): 4.5053 4.5053 3.2668 90.00 90.00 90.00
Each line ends with the local moment (μB).
Atoms (fractional coordinates):
Mg: 0.5000 0.5000 0.5000  -0.01
Os: 0.0000 0.5000 0.0000  0.49
Os: 0.5000 0.0000 0.0000  0.49
O: 0.0000 0.0000 0.5000  -0.01
Li: 0.0000 0.0000 0.0000  0.00

Compound: LiMgOsO2
Source: Alexandria via LeMat-Bulk
Functional: PBE
Structure: relaxed

Lattice parameters (Å, degrees): 3.9088 5.4003 3.9088 90.00 90.00 90.00
Each line ends with the local moment (μB).
Atoms (fractional coordinates):
Mg: 0.0000 0.0000 0.0000  -0.02
Os: 0.0000 0.5000 0.0000  2.82
O: 0.0000 0.0000 0.5000  0.70
O: 0.5000 0.0000 0.0000  0.76
Li: 0.5000 0.5000 0.5000  -0.01

Quick rundown of formation energy from raw total energies, same order as above: -341; 542; 234 kJ/mol of formula units
Quick rundown of total moment, same order as above: 3.00; 1.01; 4.96 μB/cell
Quick rundown of DOS at the Fermi energy, same order as above: 0.332; 0.975; 0.590 states/eV/atom